Entry 1:
The following is a PBE calculation of an optimized crystal structure of CsZrTlSe3, from Alexandria via LeMat-Bulk.

POSCAR file:
```
CsZrTlSe3
1.0
-1.7348 3.5896 -6.0659
-3.9375 -5.5167 -4.0420
-8.6538 -0.4072 1.2822
Cs Zr Tl Se
2 2 2 6
Cartesian
-5.7008 -0.7009 -1.9077
-8.6253 -1.6334 -6.9180
-9.3127 2.0592 -3.5846
-5.0134 -4.3935 -5.2411
-9.9285 -2.6648 -2.8125
-4.3976 0.3305 -6.0132
-12.0887 -3.0723 -5.1677
-10.7505 1.7711 -5.9070
-7.1654 1.3040 -4.6456
-2.2374 0.7380 -3.6581
-3.5756 -4.1054 -2.9188
-7.1607 -3.6382 -4.1801
```

Output
Formation energy from raw total energies, eV per atom: -1.1240

Entry 2:
The following is a PBE calculation of an optimized crystal structure of SrBiW3, from Alexandria via LeMat-Bulk.

POSCAR file:
```
SrBiW3
1.0
5.1418 0.0000 0.0000
0.0000 5.1418 0.0000
0.0000 0.0000 5.1418
Sr Bi W
1 1 3
Cartesian
2.5709 2.5709 2.5709
0.0000 0.0000 0.0000
0.0000 2.5709 0.0000
0.0000 0.0000 2.5709
2.5709 0.0000 0.0000
```

Output
Distance to the lowest polymorph of the same formula, meV/atom: 0.0
Energy of formation from the pure elements, eV per atom: 2.555

Entry 3:
The following is a PBE calculation of an optimized crystal structure of Ni6Pt5, from Alexandria via LeMat-Bulk.

POSCAR file:
```
Ni6Pt5
1.0
4.5835 -0.0006 -0.0031
-0.8105 5.9093 -0.0055
1.5407 2.0403 5.3989
Ni Pt
6 5
Cartesian
0.0110 0.0107 0.0063
2.2991 0.9266 0.9595
4.5755 1.8006 1.9391
4.5719 3.6484 3.9471
3.0342 3.3884 0.4678
0.7301 6.1242 3.4525
2.2710 2.6529 2.9125
2.2585 4.4853 4.9429
0.6969 4.3155 1.4839
3.0191 5.2970 2.4098
3.1020 7.0956 4.4304
```

Output
Energy of formation from the pure elements, eV per atom: -0.068

Entry 4:
The following is a PBE calculation of an optimized crystal structure of KBe2Cd, from Alexandria via LeMat-Bulk.

POSCAR file:
```
KBe2Cd
1.0
-0.3531 -4.6226 -2.4597
2.3940 -4.0051 -2.4022
0.8647 -4.2746 4.5963
Be K Cd
2 1 1
Cartesian
0.8972 -4.3293 3.6315
2.1311 -9.4696 -0.1227
0.7238 -3.2044 -0.1678
1.4711 -6.6247 0.8569
```

Output
Energy of formation from the pure elements, eV per atom: 0.549

no.,raw total energy (eV/atom)
1,-4.8276
2,-6.3290
3,-5.9670
4,-1.8173